Entry 1:
Entry from Alexandria via LeMat-Bulk: a relaxed Rb2ScTe2S6 crystal (GGA-PBE).

Raw total energy: -4.260 eV/atom
Formation energy without anion corrections: -686 meV per atom
Volume: 333.35 Å³ per cell
Magnetic moment: 0.00 μB/f.u.

Cell lengths 7.4189, 6.5878, 8.7349 Å; angles 105.70, 90.00, 124.27 degrees
Sites, in units of the cell vectors:
Te 0.9149 0.8297 0.7461
Te 0.0851 0.1703 0.2539
Rb 0.6950 0.3901 0.1187
Rb 0.3050 0.6099 0.8813
S 0.7406 0.4811 0.5039
S 0.6751 0.9204 0.2502
S 0.2453 0.9204 0.2502
S 0.7547 0.0796 0.7498
S 0.2594 0.5189 0.4961
S 0.3249 0.0796 0.7498
Sc 0.5000 0.0000 0.5000

***

Entry 2:
Entry from Alexandria via LeMat-Bulk: a relaxed Rb3Th3ScS8 crystal (GGA-PBE).

Raw total energy: -6.036 eV/atom
Formation energy without anion corrections: -1735 meV per atom
Volume: 451.80 Å³ per cell
Magnetic moment: 0.00 μB/f.u.

Cell lengths 8.1130, 8.1120, 9.2077 Å; angles 116.14, 90.00, 120.00 degrees
Sites, in units of the cell vectors:
S 0.7359 0.4717 0.7075
S 0.7459 0.9660 0.6861
S 0.2641 0.5283 0.2925
S 0.2541 0.0340 0.3139
S 0.2202 0.9660 0.6860
S 0.7798 0.5597 0.3140
S 0.7798 0.0340 0.3140
S 0.2202 0.4403 0.6860
Rb 0.0000 0.5000 0.0000
Rb 0.5000 0.5000 0.0000
Rb 0.0000 0.0000 0.0000
Th 0.5000 0.5000 0.5000
Th 0.5000 0.0000 0.5000
Th 0.0000 0.5000 0.5000
Sc 0.0000 0.0000 0.5000

***

raw total energy of number 1 (Rb2ScTe2S6)? -4.260 eV/atom

***

What is the formula in the first record? Rb2ScTe2S6